No. 1
! RbAg2SBr | the Alexandria database | PBE-GGA | relaxed; values from VASP
! **Final energy**: -15.47 eV/cell
! **M_tot**: 0.00 μB per cell
! **Formation energy from raw total energies**: -2.998 eV/f.u.
&SYSTEM
  ibrav = 0, nat = 5, ntyp = 4
/
ATOMIC_SPECIES
S 32.06 S.upf
Br 79.90 Br.upf
Rb 85.47 Rb.upf
Ag 107.87 Ag.upf
CELL_PARAMETERS angstrom
-0.439 2.367 4.144
-3.145 -3.273 1.536
5.184 -3.724 2.677
ATOMIC_POSITIONS crystal
S 0.000 0.000 0.000
Br 0.500 0.500 0.500
Rb 0.000 0.000 0.500
Ag 0.000 0.500 0.000
Ag 0.500 0.000 0.000

=====

No. 2
! Rb2AgSBr | the Alexandria database | PBE-GGA | relaxed; values from VASP
! **Final energy**: -15.51 eV/cell
! **M_tot**: 0.00 μB per cell
! **Formation energy from raw total energies**: -4.925 eV/f.u.
&SYSTEM
  ibrav = 0, nat = 5, ntyp = 4
/
ATOMIC_SPECIES
Rb 85.47 Rb.upf
S 32.06 S.upf
Ag 107.87 Ag.upf
Br 79.90 Br.upf
CELL_PARAMETERS angstrom
-2.203 4.270 4.326
3.941 -2.499 4.474
3.347 3.010 -1.267
ATOMIC_POSITIONS crystal
Rb 0.000 0.500 0.000
Rb 0.500 0.000 0.000
S 0.000 0.000 0.000
Ag 0.000 0.000 0.500
Br 0.500 0.500 0.500

=====

No. 3
! Rb2AgSBr6 | the Alexandria database | PBE-GGA | relaxed; values from VASP
! **Final energy**: -26.28 eV/cell
! **M_tot**: 0.77 μB per cell
! **Formation energy from raw total energies**: -7.326 eV/f.u.
&SYSTEM
  ibrav = 0, nat = 10, ntyp = 4
/
ATOMIC_SPECIES
Ag 107.87 Ag.upf
Br 79.90 Br.upf
Rb 85.47 Rb.upf
S 32.06 S.upf
CELL_PARAMETERS angstrom
7.606 0.000 0.000
0.000 7.606 0.000
3.803 3.803 5.708
ATOMIC_POSITIONS crystal
Ag 0.000 0.000 0.000
Br 0.226 0.226 0.548
Br 0.266 0.266 0.000
Br 0.734 0.266 0.000
Br 0.734 0.734 0.000
Rb 0.250 0.750 0.500
Rb 0.750 0.250 0.500
S 0.500 0.500 0.000
Br 0.774 0.774 0.452
Br 0.266 0.734 0.000

=====

No. 4
! Rb3Ag2SbBr9 | the Alexandria database | PBE-GGA | relaxed; values from VASP
! **Final energy**: -42.39 eV/cell
! **M_tot**: 0.00 μB per cell
! **Formation energy from raw total energies**: -14.608 eV/f.u.
&SYSTEM
  ibrav = 0, nat = 15, ntyp = 4
/
ATOMIC_SPECIES
Br 79.90 Br.upf
Rb 85.47 Rb.upf
Ag 107.87 Ag.upf
Sb 121.76 Sb.upf
CELL_PARAMETERS angstrom
-0.859 6.410 -4.482
3.567 -6.384 -2.906
-8.551 -3.346 -3.146
ATOMIC_POSITIONS crystal
Br 0.500 0.000 0.000
Rb 0.333 0.667 0.702
Br 0.834 0.668 0.666
Rb 0.000 0.000 0.000
Br 0.166 0.834 0.334
Ag 0.667 0.333 0.843
Br 0.500 0.500 0.000
Br 0.834 0.166 0.666
Sb 0.000 0.000 0.500
Ag 0.333 0.667 0.157
Br 0.668 0.834 0.334
Rb 0.667 0.333 0.298
Br 0.000 0.500 0.000
Br 0.332 0.166 0.666
Br 0.166 0.332 0.334